4
Lattice="1.627 0.939 6.645 -1.627 0.939 6.645 0.000 -1.879 6.645" Properties=species:S:1:pos:R:3 comment="GGA+U EuVO2, relaxed" relative_energy_mev_per_atom=261 total_magnetization_mub_per_fu=9.663 sg="R-3m (166)" total_energy_ev_per_atom=-8.6457 pbc="T T T"
Eu 0.000 0.000 0.000
V 0.000 0.000 9.967
O 0.000 0.000 2.326
O 0.000 0.000 17.609